## YTmIr2 (PBE)

Data for a relaxed structure of YTmIr2.

Values from the calculation:
symmetry	P4/mmm (123)
energy relative to the elements	-3.392	eV per formula unit

Cell: 4.704 4.704 3.569 Å, 90.00 90.00 90.00°
Positions (direct):
Y  0.000  0.000  0.000
Tm  0.500  0.500  0.000
Ir  0.000  0.500  0.500
Ir  0.500  0.000  0.500


## YTm2Ir (PBE)

Data for a relaxed structure of YTm2Ir.

Values from the calculation:
symmetry	Pnma (62)
energy relative to the elements	-2.445	eV per formula unit

Cell: 7.221 9.081 6.355 Å, 90.00 90.00 90.00°
Positions (direct):
Y  0.032  0.250  0.125
Y  0.468  0.750  0.625
Y  0.532  0.250  0.375
Y  0.968  0.750  0.875
Tm  0.177  0.062  0.672
Tm  0.177  0.438  0.672
Tm  0.323  0.562  0.172
Tm  0.323  0.938  0.172
Tm  0.677  0.062  0.828
Tm  0.677  0.438  0.828
Tm  0.823  0.562  0.328
Tm  0.823  0.938  0.328
Ir  0.115  0.750  0.452
Ir  0.385  0.250  0.952
Ir  0.615  0.750  0.048
Ir  0.885  0.250  0.548


## Y2TmIr (PBE)

Data for a relaxed structure of Y2TmIr.

Values from the calculation:
symmetry	Pnma (62)
energy relative to the elements	-2.332	eV per formula unit

Cell: 7.206 9.255 6.409 Å, 90.00 90.00 90.00°
Positions (direct):
Y  0.178  0.062  0.177
Y  0.178  0.438  0.177
Y  0.322  0.562  0.677
Y  0.322  0.938  0.677
Y  0.678  0.062  0.323
Y  0.678  0.438  0.323
Y  0.822  0.562  0.823
Y  0.822  0.938  0.823
Tm  0.036  0.250  0.632
Tm  0.464  0.750  0.132
Tm  0.536  0.250  0.868
Tm  0.964  0.750  0.368
Ir  0.115  0.750  0.965
Ir  0.385  0.250  0.465
Ir  0.615  0.750  0.535
Ir  0.885  0.250  0.035


## YTmIr (PBE)

Data for a relaxed structure of YTmIr.

Values from the calculation:
symmetry	P3m1 (156)
energy relative to the elements	-1.632	eV per formula unit

Cell: 4.088 4.088 6.052 Å, 90.00 90.00 120.00°
Positions (direct):
Y  0.000  0.000  0.000
Tm  0.333  0.667  0.464
Ir  0.667  0.333  0.239